The following is a PBE-GGA calculation of crystalline DyAgF4 at its relaxed geometry, from the Alexandria database.

Cell: 6.522 6.522 6.522 Å, 109.91 109.91 108.60°
Positions (direct):
F (0.163, 0.960, 0.203)
F (0.290, 0.989, 0.699)
F (0.710, 0.413, 0.703)
F (0.757, 0.960, 0.797)
Ag (0.008, 0.508, 0.500)
F (0.710, 0.007, 0.297)
F (0.341, 0.540, 0.801)
F (0.739, 0.540, 0.199)
Ag (0.258, 0.258, 0.000)
Dy (0.492, 0.992, 0.500)
Dy (0.742, 0.742, 0.000)
F (0.290, 0.591, 0.301)

Results
* raw formation energy: -3.034 eV/atom
* space-group type: No. 109
* uncorrected energy: -5.5241 eV per atom

---

The following is a PBE-GGA calculation of crystalline DyAg3F7 at its relaxed geometry, from the Alexandria database.

Cell: 5.656 5.656 6.564 Å, 66.97 66.97 87.31°
Positions (direct):
F (0.654, 0.129, 0.258)
Ag (0.775, 0.241, 0.500)
F (0.129, 0.654, 0.258)
F (0.833, 0.833, 0.784)
Ag (0.502, 0.502, 0.994)
Ag (0.241, 0.775, 0.500)
F (0.190, 0.190, 0.098)
Dy (0.953, 0.953, 0.033)
F (0.318, 0.899, 0.760)
F (0.631, 0.631, 0.305)
F (0.899, 0.318, 0.760)

Results
* raw formation energy: -2.149 eV/atom
* space-group type: No. 8
* uncorrected energy: -4.5360 eV per atom

---

The following is a PBE-GGA calculation of crystalline DyAgF at its relaxed geometry, from the Alexandria database.

Cell: 3.657 3.657 8.042 Å, 90.00 90.00 90.00°
Positions (direct):
F (0.000, 0.000, 0.000)
Dy (0.000, 0.500, 0.804)
Dy (0.500, 0.000, 0.196)
F (0.500, 0.500, 0.000)
Ag (0.000, 0.500, 0.406)
Ag (0.500, 0.000, 0.594)

Results
* raw formation energy: -1.897 eV/atom
* space-group type: No. 129
* uncorrected energy: -5.0057 eV per atom

---

The following is a PBE-GGA calculation of crystalline DyAg4F7 at its relaxed geometry, from the Alexandria database.

Cell: 4.320 5.790 8.502 Å, 97.17 104.72 90.00°
Positions (direct):
Ag (0.264, 0.775, 0.528)
Dy (0.000, 0.000, 0.000)
Ag (0.736, 0.225, 0.472)
Ag (0.599, 0.543, 0.198)
F (0.260, 0.270, 0.520)
F (0.740, 0.730, 0.480)
F (0.500, 0.000, 0.000)
F (0.891, 0.176, 0.782)
F (0.109, 0.824, 0.218)
Ag (0.401, 0.457, 0.802)
F (0.926, 0.658, 0.851)
F (0.074, 0.342, 0.149)

Results
* raw formation energy: -1.945 eV/atom
* space-group type: No. 12
* uncorrected energy: -4.3701 eV per atom

---

The following is a PBE-GGA calculation of crystalline DyAg2F5 at its relaxed geometry, from the Alexandria database.

Cell: 6.379 7.147 10.377 Å, 90.00 90.00 90.00°
Positions (direct):
F (0.351, 0.538, 0.582)
F (0.362, 0.750, 0.326)
F (0.862, 0.250, 0.174)
Ag (0.534, 0.497, 0.171)
F (0.649, 0.462, 0.418)
Dy (0.427, 0.250, 0.506)
F (0.681, 0.750, 0.701)
F (0.819, 0.750, 0.201)
Ag (0.034, 0.503, 0.329)
F (0.649, 0.038, 0.418)
Ag (0.466, 0.503, 0.829)
Ag (0.966, 0.003, 0.671)
F (0.578, 0.750, 0.985)
F (0.149, 0.538, 0.082)
F (0.149, 0.962, 0.082)
Dy (0.927, 0.750, 0.994)
F (0.851, 0.462, 0.918)
Ag (0.034, 0.997, 0.329)
Dy (0.573, 0.750, 0.494)
F (0.638, 0.250, 0.674)
F (0.851, 0.038, 0.918)
Ag (0.966, 0.497, 0.671)
F (0.181, 0.250, 0.799)
Dy (0.073, 0.250, 0.006)
Ag (0.534, 0.003, 0.171)
Ag (0.466, 0.997, 0.829)
F (0.422, 0.250, 0.015)
F (0.078, 0.250, 0.515)
F (0.351, 0.962, 0.582)
F (0.138, 0.750, 0.826)
F (0.922, 0.750, 0.485)
F (0.319, 0.250, 0.299)

Results
* raw formation energy: -2.543 eV/atom
* space-group type: No. 62
* uncorrected energy: -5.0003 eV per atom

---

The following is a PBE-GGA calculation of crystalline Dy2AgF at its relaxed geometry, from the Alexandria database.

Cell: 3.274 3.274 9.771 Å, 80.36 80.36 60.00°
Positions (direct):
F (0.500, 0.500, 0.500)
Ag (0.000, 0.000, 0.000)
Dy (0.102, 0.102, 0.694)
Dy (0.898, 0.898, 0.306)

Results
* raw formation energy: -0.808 eV/atom
* space-group type: No. 166
* uncorrected energy: -4.2895 eV per atom

---

The following is a PBE-GGA calculation of crystalline DyAg5F8 at its relaxed geometry, from the Alexandria database.

Cell: 6.495 6.495 6.495 Å, 109.23 109.23 109.95°
Positions (direct):
Ag (0.187, 0.420, 0.264)
Dy (0.750, 0.250, 0.500)
F (0.831, 0.628, 0.774)
F (0.188, 0.514, 0.688)
F (0.826, 0.500, 0.312)
F (0.500, 0.812, 0.326)
Ag (0.500, 0.500, 0.000)
F (0.372, 0.146, 0.203)
Ag (0.157, 0.924, 0.736)
F (0.486, 0.174, 0.674)
F (0.854, 0.057, 0.226)
Ag (0.076, 0.813, 0.233)
Ag (0.580, 0.843, 0.767)
F (0.943, 0.169, 0.797)

Results
* raw formation energy: -1.869 eV/atom
* space-group type: No. 82
* uncorrected energy: -4.2858 eV per atom